Entry 1:
This record from Alexandria describes crystalline CaNiOs2 at its relaxed geometry. The functional is GGA-PBE.

Results
- N(E_F): 1.140 states/eV per atom
- Formation enthalpy at 0 K: 0.842 eV per atom
- Magnetic moment: 0.000 μB per cell
- Energy above the most stable polymorph in this dataset: 555 meV per atom
- VASP energy: -6.72 eV per atom

Cell and atoms, written as POSCAR:
```
CaNiOs2
1.0
4.5965 0.0000 0.0000
0.0000 4.5965 0.0000
2.2983 2.2983 8.4813
Os Ni Ca
4 2 2
Cartesian
5.7457 2.0364 6.3609
4.3347 1.1491 2.1203
4.8584 3.4474 2.1203
3.4474 2.5602 6.3609
0.0000 0.0000 0.0000
4.5965 2.2983 4.2406
2.2983 2.2983 0.0000
2.2983 4.5965 4.2406
```

Entry 2:
This record from Alexandria describes crystalline Ca2NiOs at its relaxed geometry. The functional is GGA-PBE.

Results
- N(E_F): 0.693 states/eV per atom
- Formation enthalpy at 0 K: 0.271 eV per atom
- Magnetic moment: 0.000 μB per cell
- Energy above the most stable polymorph in this dataset: 104 meV per atom
- VASP energy: -4.98 eV per atom

Cell and atoms, written as POSCAR:
```
Ca2NiOs
1.0
-3.6238 1.4766 -4.1529
-4.8102 -0.9032 -2.9334
-3.8073 2.9788 2.1091
Os Ca Ni
1 2 1
Cartesian
-2.6172 0.7974 -0.9902
-8.4467 0.7463 -6.7613
-9.1700 2.4851 -4.0717
-6.5619 1.8730 -2.7288
```

VASP energy of number 1 (CaNiOs2)? -6.72 eV per atom